# 1
Density functional theory data (PBE-GGA) for a geometry-optimized La8CdCo2 structure.

Values from the calculation:
final energy: -5.017 eV per atom
size of the total moment: 0.00 Bohr magnetons per cell

Cell lengths 5.762, 8.249, 8.249 Å; angles 117.56, 97.22, 97.22 degrees
Positions (direct):
La 0.000 0.249 0.756
La 0.443 0.660 0.917
La 0.443 0.917 0.660
La 0.556 0.089 0.346
La 0.801 0.600 0.600
Co 0.500 0.723 0.283
Cd 0.000 0.003 0.003
La 0.000 0.756 0.249
La 0.556 0.346 0.089
La 0.199 0.407 0.407
Co 0.500 0.283 0.723

---

# 2
Density functional theory data (PBE-GGA) for a geometry-optimized LaCd3Co structure.

Values from the calculation:
final energy: -2.937 eV per atom
size of the total moment: 1.01 Bohr magnetons per cell

Cell lengths 4.977, 4.977, 4.977 Å; angles 90.00, 90.00, 90.00 degrees
Positions (direct):
Cd 0.500 0.000 0.000
La 0.500 0.500 0.500
Cd 0.000 0.000 0.500
Cd 0.000 0.500 0.000
Co 0.000 0.000 0.000

---

# 3
Density functional theory data (PBE-GGA) for a geometry-optimized LaCdCo2 structure.

Values from the calculation:
final energy: -5.003 eV per atom
size of the total moment: 0.93 Bohr magnetons per cell

Cell lengths 4.529, 4.529, 5.313 Å; angles 64.79, 64.79, 59.96 degrees
Positions (direct):
Co 0.073 0.073 0.780
Cd 0.750 0.750 0.750
La 0.250 0.250 0.250
Co 0.427 0.427 0.720

---

Density of states at the Fermi level per entry: 14.036; 4.957; 3.498 states/eV per cell
ΔE_f per entry: -58.6; 18.4; 10.5 meV per atom
Ρ per entry: 6605; 7208; 7462 kg/m3